1 | An optimized crystal structure of NaLaBe2, computed with PBE-GGA.

It has space group Fm-3m (No. 225), with a = 6.9522 Å, b = 6.9522 Å, c = 6.9522 Å, α = 90.00°, β = 90.00° and γ = 90.00°. The inequivalent atoms are Na at (0.0000, 0.0000, 0.0000), La at (0.0000, 0.0000, 0.5000) and Be at (0.2500, 0.2500, 0.2500).

The calculation puts the density at 3.6 g/cm³. Its crystal system is cubic. The density of states at the Fermi level comes out at 5.9 states/eV/cell.



2 | An optimized crystal structure of NaLaBe2, computed with PBE-GGA.

It has space group I4_1/amd (No. 141, origin choice 2), with a = 4.4342 Å, b = 4.4342 Å, c = 18.3214 Å, α = 90.00°, β = 90.00° and γ = 90.00°. The inequivalent atoms are Na at (0.0000, 0.2500, 0.3750), La at (0.0000, 0.2500, 0.8750) and Be at (0.0000, 0.0000, 0.5000).

The calculation puts the density at 3.3 g/cm³. Its crystal system is tetragonal. The density of states at the Fermi level comes out at 8.5 states/eV/cell.



Which is the most stable structure? 1 is the most stable.



1 | An optimized crystal structure of La2BeNb, computed with PBE-GGA.

It has space group Fm-3m (No. 225), with a = 7.3190 Å, b = 7.3190 Å, c = 7.3190 Å, α = 90.00°, β = 90.00° and γ = 90.00°. The inequivalent atoms are La at (0.2500, 0.2500, 0.2500), Be at (0.0000, 0.0000, 0.0000) and Nb at (0.0000, 0.0000, 0.5000).

The calculation puts the density at 6.4 g/cm³. Its crystal system is cubic. The density of states at the Fermi level comes out at 27.5 states/eV/cell.



2 | An optimized crystal structure of La2BeNb, computed with PBE-GGA.

It has space group I-42d (No. 122), with a = 8.2427 Å, b = 8.2427 Å, c = 5.7103 Å, α = 90.00°, β = 90.00° and γ = 90.00°. The inequivalent atoms are La at (0.2105, 0.2500, 0.1250), Be at (0.0000, 0.0000, 0.0000) and Nb at (0.0000, 0.0000, 0.5000).

The calculation puts the density at 6.5 g/cm³. Its crystal system is tetragonal. The density of states at the Fermi level comes out at 23.2 states/eV/cell.



Which is the most stable structure? 1 is the most stable.



1 | An optimized crystal structure of LaBe3Nb, computed with PBE-GGA.

It has space group Pm-3m (No. 221), with a = 4.5896 Å, b = 4.5896 Å, c = 4.5896 Å, α = 90.00°, β = 90.00° and γ = 90.00°. The inequivalent atoms are La at (0.0000, 0.0000, 0.0000), Be at (0.0000, 0.5000, 0.5000) and Nb at (0.5000, 0.5000, 0.5000).

The calculation puts the density at 4.4 g/cm³. Its crystal system is cubic. The density of states at the Fermi level comes out at 5.8 states/eV/cell.



2 | An optimized crystal structure of LaBe3Nb, computed with PBE-GGA.

It has space group Pm-3m (No. 221), with a = 4.5865 Å, b = 4.5865 Å, c = 4.5865 Å, α = 90.00°, β = 90.00° and γ = 90.00°. The inequivalent atoms are La at (0.0000, 0.0000, 0.0000), Be at (0.0000, 0.0000, 0.5000) and Nb at (0.5000, 0.5000, 0.5000).

The calculation puts the density at 4.5 g/cm³. Its crystal system is cubic. The density of states at the Fermi level comes out at 3.9 states/eV/cell.



Which is the most stable structure? 1 is the most stable.



1 | An optimized crystal structure of LaBe2Nb, computed with PBE-GGA.

It has space group Fm-3m (No. 225), with a = 6.5683 Å, b = 6.5683 Å, c = 6.5683 Å, α = 90.00°, β = 90.00° and γ = 90.00°. The inequivalent atoms are La at (0.0000, 0.0000, 0.0000), Be at (0.2500, 0.2500, 0.2500) and Nb at (0.0000, 0.0000, 0.5000).

The calculation puts the density at 5.9 g/cm³. Its crystal system is cubic. The density of states at the Fermi level comes out at 3.4 states/eV/cell.



2 | An optimized crystal structure of LaBe2Nb, computed with PBE-GGA.

It has space group I-42d (No. 122), with a = 7.4483 Å, b = 7.4483 Å, c = 5.5302 Å, α = 90.00°, β = 90.00° and γ = 90.00°. The inequivalent atoms are La at (0.0000, 0.0000, 0.0000), Be at (0.1985, 0.7500, 0.6250) and Nb at (0.0000, 0.0000, 0.5000).

The calculation puts the density at 5.4 g/cm³. Its crystal system is tetragonal. The density of states at the Fermi level comes out at 12.6 states/eV/cell.



Which is the most stable structure? 1 is the most stable.



1 | An optimized crystal structure of LaBe3Ni, computed with PBE-GGA.

It has space group Pm-3m (No. 221), with a = 4.2149 Å, b = 4.2149 Å, c = 4.2149 Å, α = 90.00°, β = 90.00° and γ = 90.00°. The inequivalent atoms are La at (0.0000, 0.0000, 0.0000), Be at (0.0000, 0.5000, 0.5000) and Ni at (0.5000, 0.5000, 0.5000).

The calculation puts the density at 5.0 g/cm³. Its crystal system is cubic. The density of states at the Fermi level comes out at 3.3 states/eV/cell.



2 | An optimized crystal structure of LaBe3Ni, computed with PBE-GGA.

It has space group Pm-3m (No. 221), with a = 4.8388 Å, b = 4.8388 Å, c = 4.8388 Å, α = 90.00°, β = 90.00° and γ = 90.00°. The inequivalent atoms are La at (0.0000, 0.0000, 0.0000), Be at (0.0000, 0.0000, 0.5000) and Ni at (0.5000, 0.5000, 0.5000).

The calculation puts the density at 3.3 g/cm³. Its crystal system is cubic. The density of states at the Fermi level comes out at 3.2 states/eV/cell.



Which is the most stable structure? 1 is the most stable.



1 | An optimized crystal structure of LaBe2Ni, computed with PBE-GGA.

It has space group Pmm2 (No. 25), with a = 2.8859 Å, b = 3.0338 Å, c = 6.7401 Å, α = 90.00°, β = 90.00° and γ = 90.00°. The inequivalent atoms are La at (0.0000, 0.0000, 0.0000), Be at (0.0000, 0.0000, 0.4796), Be at (0.5000, 0.5000, 0.6502) and Ni at (0.5000, 0.5000, 0.3299).

The calculation puts the density at 6.1 g/cm³. Its crystal system is orthorhombic. The density of states at the Fermi level comes out at 3.1 states/eV/cell.



2 | An optimized crystal structure of LaBe2Ni, computed with PBE-GGA.

It has space group C2/m (No. 12), with a = 6.5875 Å, b = 3.8036 Å, c = 5.5987 Å, α = 90.00°, β = 112.90° and γ = 90.00°. The inequivalent atoms are La at (0.0000, 0.0000, 0.0000), Be at (0.1876, 0.0000, 0.5630) and Ni at (0.0000, 0.5000, 0.5000).

The calculation puts the density at 5.5 g/cm³. Its crystal system is monoclinic. The density of states at the Fermi level comes out at 6.3 states/eV/cell.



3 | An optimized crystal structure of LaBe2Ni, computed with PBE-GGA.

It has space group C2/m (No. 12), with a = 4.9412 Å, b = 7.2826 Å, c = 3.9066 Å, α = 90.00°, β = 109.53° and γ = 90.00°. The inequivalent atoms are La at (0.0000, 0.0000, 0.0000), Be at (0.2500, 0.2500, 0.5000) and Ni at (0.0000, 0.5000, 0.0000).

The calculation puts the density at 5.4 g/cm³. Its crystal system is monoclinic. The density of states at the Fermi level comes out at 4.9 states/eV/cell.



4 | An optimized crystal structure of LaBe2Ni, computed with PBE-GGA.

It has space group Fm-3m (No. 225), with a = 6.3465 Å, b = 6.3465 Å, c = 6.3465 Å, α = 90.00°, β = 90.00° and γ = 90.00°. The inequivalent atoms are La at (0.0000, 0.0000, 0.0000), Be at (0.2500, 0.2500, 0.2500) and Ni at (0.0000, 0.0000, 0.5000).

The calculation puts the density at 5.6 g/cm³. Its crystal system is cubic. The density of states at the Fermi level comes out at 15.8 states/eV/cell.



Which is the most stable structure? 2 is the most stable.



1 | An optimized crystal structure of LaBe2Ni, computed with PBE-GGA.

It has space group I-4m2 (No. 119), with a = 4.5244 Å, b = 4.5244 Å, c = 6.3896 Å, α = 90.00°, β = 90.00° and γ = 90.00°. The inequivalent atoms are La at (0.0000, 0.0000, 0.0000), Be at (0.0000, 0.0000, 0.5000), Be at (0.0000, 0.5000, 0.2500) and Ni at (0.0000, 0.5000, 0.7500).

The calculation puts the density at 5.5 g/cm³. Its crystal system is tetragonal. The density of states at the Fermi level comes out at 7.1 states/eV/cell.



2 | An optimized crystal structure of LaBe2Ni, computed with PBE-GGA.

It has space group Pm (No. 6), with a = 2.9599 Å, b = 3.5405 Å, c = 6.0931 Å, α = 90.00°, β = 103.83° and γ = 90.00°. The inequivalent atoms are La at (0.0000, 0.0000, 0.0000), Be at (0.2559, 0.0000, 0.4959), Be at (0.3477, 0.5000, 0.6896) and Ni at (0.7186, 0.5000, 0.4269).

The calculation puts the density at 5.8 g/cm³. Its crystal system is monoclinic. The density of states at the Fermi level comes out at 1.9 states/eV/cell.



3 | An optimized crystal structure of LaBe2Ni, computed with PBE-GGA.

It has space group Cm (No. 8), with a = 6.6641 Å, b = 3.8787 Å, c = 5.3025 Å, α = 90.00°, β = 106.75° and γ = 90.00°. The inequivalent atoms are La at (0.0000, 0.0000, 0.0000), Be at (0.0304, 0.5000, 0.5008), Be at (0.2132, 0.0000, 0.5522) and Ni at (0.3514, 0.5000, 0.4523).

The calculation puts the density at 5.5 g/cm³. Its crystal system is monoclinic. The density of states at the Fermi level comes out at 4.8 states/eV/cell.



4 | An optimized crystal structure of LaBe2Ni, computed with PBE-GGA.

It has space group I4_1/amd (No. 141, origin choice 2), with a = 4.5258 Å, b = 4.5258 Å, c = 14.0421 Å, α = 90.00°, β = 90.00° and γ = 90.00°. The inequivalent atoms are La at (0.0000, 0.2500, 0.3750), Be at (0.0000, 0.0000, 0.0000) and Ni at (0.0000, 0.2500, 0.8750).

The calculation puts the density at 5.0 g/cm³. Its crystal system is tetragonal. The density of states at the Fermi level comes out at 13.1 states/eV/cell.



Which is the most stable structure? 3 is the most stable.



1 | An optimized crystal structure of LaBe2Ni, computed with PBE-GGA.

It has space group Pmmm (No. 47), with a = 2.8265 Å, b = 3.0570 Å, c = 6.7474 Å, α = 90.00°, β = 90.00° and γ = 90.00°. The inequivalent atoms are La at (0.0000, 0.0000, 0.0000), Be at (0.5000, 0.5000, 0.3440) and Ni at (0.0000, 0.0000, 0.5000).

The calculation puts the density at 6.1 g/cm³. Its crystal system is orthorhombic. The density of states at the Fermi level comes out at 2.6 states/eV/cell.



2 | An optimized crystal structure of LaBe2Ni, computed with PBE-GGA.

It has space group P4/mmm (No. 123), with a = 4.5675 Å, b = 4.5675 Å, c = 3.1050 Å, α = 90.00°, β = 90.00° and γ = 90.00°. The inequivalent atoms are La at (0.0000, 0.0000, 0.0000), Be at (0.0000, 0.5000, 0.5000) and Ni at (0.5000, 0.5000, 0.0000).

The calculation puts the density at 5.5 g/cm³. Its crystal system is tetragonal. The density of states at the Fermi level comes out at 4.6 states/eV/cell.



Which is the most stable structure? 1 is the most stable.



1 | An optimized crystal structure of LaBe2Ni, computed with PBE-GGA.

It has space group P2/m (No. 10), with a = 4.1827 Å, b = 4.0796 Å, c = 4.2205 Å, α = 90.00°, β = 102.70° and γ = 90.00°. The inequivalent atoms are La at (0.0000, 0.0000, 0.0000), Be at (0.2737, 0.5000, 0.5527) and Ni at (0.5000, 0.0000, 0.5000).

The calculation puts the density at 5.1 g/cm³. Its crystal system is monoclinic. The density of states at the Fermi level comes out at 2.7 states/eV/cell.



2 | An optimized crystal structure of LaBe2Ni, computed with PBE-GGA.

It has space group Cmmm (No. 65), with a = 5.0118 Å, b = 5.8462 Å, c = 4.6826 Å, α = 90.00°, β = 90.00° and γ = 90.00°. The inequivalent atoms are La at (0.0000, 0.0000, 0.0000), Be at (0.2500, 0.2500, 0.5000) and Ni at (0.0000, 0.5000, 0.0000).

The calculation puts the density at 5.2 g/cm³. Its crystal system is orthorhombic. The density of states at the Fermi level comes out at 2.9 states/eV/cell.



Which is the most stable structure? 1 is the most stable.



1 | An optimized crystal structure of LaBeNi, computed with PBE-GGA.

It has space group P-6m2 (No. 187), with a = 4.0242 Å, b = 4.0242 Å, c = 4.0087 Å, α = 90.00°, β = 90.00° and γ = 120.00°. The inequivalent atoms are La at (0.0000, 0.0000, 0.0000), Be at (0.6667, 0.3333, 0.5000) and Ni at (0.3333, 0.6667, 0.5000).

The calculation puts the density at 6.1 g/cm³. Its crystal system is hexagonal. The density of states at the Fermi level comes out at 2.2 states/eV/cell.



2 | An optimized crystal structure of LaBeNi, computed with PBE-GGA.

It has space group I4mm (No. 107), with a = 3.1380 Å, b = 3.1380 Å, c = 10.3432 Å, α = 90.00°, β = 90.00° and γ = 90.00°. The inequivalent atoms are La at (0.0000, 0.0000, 0.0000), Be at (0.0000, 0.0000, 0.7202) and Ni at (0.0000, 0.0000, 0.2837).

The calculation puts the density at 6.7 g/cm³. Its crystal system is tetragonal. The density of states at the Fermi level comes out at 4.5 states/eV/cell.



3 | An optimized crystal structure of LaBeNi, computed with PBE-GGA.

It has space group Pnma (No. 62), with a = 11.5318 Å, b = 4.1325 Å, c = 5.0975 Å, α = 90.00°, β = 90.00° and γ = 90.00°. The inequivalent atoms are La at (0.1443, 0.2500, 0.1302), Be at (0.0949, 0.7500, 0.6553) and Ni at (0.0454, 0.2500, 0.6191).

The calculation puts the density at 5.6 g/cm³. Its crystal system is orthorhombic. The density of states at the Fermi level comes out at 12.0 states/eV/cell.



Which is the most stable structure? 1 is the most stable.



1 | An optimized crystal structure of LaBeNi, computed with PBE-GGA.

It has space group F-43m (No. 216), with a = 6.3106 Å, b = 6.3106 Å, c = 6.3106 Å, α = 90.00°, β = 90.00° and γ = 90.00°. The inequivalent atoms are La at (0.0000, 0.0000, 0.0000), Be at (0.0000, 0.0000, 0.5000) and Ni at (0.2500, 0.2500, 0.7500).

The calculation puts the density at 5.5 g/cm³. Its crystal system is cubic. The density of states at the Fermi level comes out at 11.6 states/eV/cell.



2 | An optimized crystal structure of LaBeNi, computed with PBE-GGA.

It has space group F-43m (No. 216), with a = 6.5907 Å, b = 6.5907 Å, c = 6.5907 Å, α = 90.00°, β = 90.00° and γ = 90.00°. The inequivalent atoms are La at (0.0000, 0.0000, 0.0000), Be at (0.2500, 0.2500, 0.2500) and Ni at (0.2500, 0.2500, 0.7500).

The calculation puts the density at 4.8 g/cm³. Its crystal system is cubic. The density of states at the Fermi level comes out at 14.0 states/eV/cell.



3 | An optimized crystal structure of LaBeNi, computed with PBE-GGA.

It has space group F-43m (No. 216), with a = 6.2494 Å, b = 6.2494 Å, c = 6.2494 Å, α = 90.00°, β = 90.00° and γ = 90.00°. The inequivalent atoms are La at (0.0000, 0.0000, 0.0000), Be at (0.2500, 0.2500, 0.7500) and Ni at (0.0000, 0.0000, 0.5000).

The calculation puts the density at 5.6 g/cm³. Its crystal system is cubic. The density of states at the Fermi level comes out at 16.4 states/eV/cell.



Which is the most stable structure? 1 is the most stable.